(1)
# PBE Cs3Pu2I8, optimized geometry
# M_tot	0.846	μB per atom
# uncorrected formation energy	-1224	meV per atom
# density	4.0	g cm⁻³
# ΔE to the lowest computed polymorph	0.030	eV per atom
# calculated total energy	-59.53	eV/cell
data_Cs3Pu2I8
_space_group_name_H-M_alt 'P 1'
_space_group_IT_number 1
_space_group_name_Hall 'P 1'
_cell_length_a 12.116
_cell_length_b 12.116
_cell_length_c 12.116
_cell_angle_alpha 44.08
_cell_angle_beta 44.08
_cell_angle_gamma 44.08
loop_
_atom_site_label
_atom_site_type_symbol
_atom_site_fract_x
_atom_site_fract_y
_atom_site_fract_z
_atom_site_occupancy
Cs1 Cs 0.000 0.000 0.000 1
Cs2 Cs 0.199 0.199 0.199 1
Cs3 Cs 0.801 0.801 0.801 1
Pu1 Pu 0.404 0.404 0.404 1
Pu2 Pu 0.596 0.596 0.596 1
I1 I 0.205 0.743 0.743 1
I2 I 0.257 0.257 0.795 1
I3 I 0.257 0.795 0.257 1
I4 I 0.313 0.313 0.313 1
I5 I 0.687 0.687 0.687 1
I6 I 0.743 0.205 0.743 1
I7 I 0.743 0.743 0.205 1
I8 I 0.795 0.257 0.257 1

=====

(2)
# PBE LuZrCd2, optimized geometry
# M_tot	0.145	μB per atom
# density	8.8	g cm⁻³
# ΔE to the lowest computed polymorph	0.021	eV per atom
# energy of formation from the pure elements	-134	meV/atom
# calculated total energy	-15.44	eV/cell
data_LuZrCd2
_space_group_name_H-M_alt 'P 1'
_space_group_IT_number 1
_space_group_name_Hall 'P 1'
_cell_length_a 5.081
_cell_length_b 5.081
_cell_length_c 5.081
_cell_angle_alpha 60.00
_cell_angle_beta 60.00
_cell_angle_gamma 60.00
loop_
_atom_site_label
_atom_site_type_symbol
_atom_site_fract_x
_atom_site_fract_y
_atom_site_fract_z
_atom_site_occupancy
Lu1 Lu 0.000 0.000 0.000 1
Zr1 Zr 0.500 0.500 0.500 1
Cd1 Cd 0.250 0.250 0.250 1
Cd2 Cd 0.750 0.750 0.750 1

=====

(3)
# PBE TaBePSe2, optimized geometry
# M_tot	0.000	μB per atom
# uncorrected formation energy	851	meV per atom
# density	7.1	g cm⁻³
# ΔE to the lowest computed polymorph	0.218	eV per atom
# calculated total energy	-23.70	eV/cell
data_TaBePSe2
_space_group_name_H-M_alt 'P 1'
_space_group_IT_number 1
_space_group_name_Hall 'P 1'
_cell_length_a 4.167
_cell_length_b 4.167
_cell_length_c 5.107
_cell_angle_alpha 90.00
_cell_angle_beta 90.00
_cell_angle_gamma 90.00
loop_
_atom_site_label
_atom_site_type_symbol
_atom_site_fract_x
_atom_site_fract_y
_atom_site_fract_z
_atom_site_occupancy
Ta1 Ta 0.000 0.000 0.000 1
Be1 Be 0.000 0.000 0.500 1
P1 P 0.500 0.500 0.000 1
Se1 Se 0.000 0.500 0.500 1
Se2 Se 0.500 0.000 0.500 1

=====

(4)
# PBE CaBeTlO4, optimized geometry
# M_tot	0.145	μB per atom
# uncorrected formation energy	-1661	meV per atom
# density	6.1	g cm⁻³
# calculated total energy	-79.10	eV/cell
data_CaBeTlO4
_space_group_name_H-M_alt 'P 1'
_space_group_IT_number 1
_space_group_name_Hall 'P 1'
_cell_length_a 5.404
_cell_length_b 5.273
_cell_length_c 6.426
_cell_angle_alpha 90.00
_cell_angle_beta 108.09
_cell_angle_gamma 90.00
loop_
_atom_site_label
_atom_site_type_symbol
_atom_site_fract_x
_atom_site_fract_y
_atom_site_fract_z
_atom_site_occupancy
Ca1 Ca 0.212 0.250 0.430 1
Ca2 Ca 0.788 0.750 0.570 1
Be1 Be 0.246 0.750 0.194 1
Be2 Be 0.754 0.250 0.806 1
Tl1 Tl 0.294 0.250 0.947 1
Tl2 Tl 0.706 0.750 0.053 1
O1 O 0.059 0.750 0.350 1
O2 O 0.064 0.750 0.938 1
O3 O 0.463 0.519 0.238 1
O4 O 0.463 0.981 0.238 1
O5 O 0.537 0.019 0.762 1
O6 O 0.537 0.481 0.762 1
O7 O 0.936 0.250 0.062 1
O8 O 0.941 0.250 0.650 1

=====

(5)
# PBE Mg2SnPb, optimized geometry
# M_tot	0.000	μB per atom
# density	6.1	g cm⁻³
# energy of formation from the pure elements	-95	meV/atom
# calculated total energy	-11.28	eV/cell
data_Mg2SnPb
_space_group_name_H-M_alt 'P 1'
_space_group_IT_number 1
_space_group_name_Hall 'P 1'
_cell_length_a 9.586
_cell_length_b 9.586
_cell_length_c 9.586
_cell_angle_alpha 21.32
_cell_angle_beta 21.32
_cell_angle_gamma 21.32
loop_
_atom_site_label
_atom_site_type_symbol
_atom_site_fract_x
_atom_site_fract_y
_atom_site_fract_z
_atom_site_occupancy
Mg1 Mg 0.248 0.248 0.248 1
Mg2 Mg 0.752 0.752 0.752 1
Sn1 Sn 0.500 0.500 0.500 1
Pb1 Pb 0.000 0.000 0.000 1

=====

(6)
# PBE MgCdOF2, optimized geometry
# M_tot	0.000	μB per atom
# uncorrected formation energy	-1441	meV per atom
# density	3.9	g cm⁻³
# ΔE to the lowest computed polymorph	0.790	eV per atom
# calculated total energy	-18.41	eV/cell
data_MgCdOF2
_space_group_name_H-M_alt 'P 1'
_space_group_IT_number 1
_space_group_name_Hall 'P 1'
_cell_length_a 4.290
_cell_length_b 4.290
_cell_length_c 4.375
_cell_angle_alpha 90.00
_cell_angle_beta 90.00
_cell_angle_gamma 90.00
loop_
_atom_site_label
_atom_site_type_symbol
_atom_site_fract_x
_atom_site_fract_y
_atom_site_fract_z
_atom_site_occupancy
Mg1 Mg 0.000 0.000 0.000 1
Cd1 Cd 0.500 0.500 0.500 1
O1 O 0.500 0.500 0.000 1
F1 F 0.000 0.500 0.500 1
F2 F 0.500 0.000 0.500 1

=====

(7)
# PBE Be2NbTe, optimized geometry
# M_tot	0.000	μB per atom
# uncorrected formation energy	592	meV per atom
# density	6.1	g cm⁻³
# calculated total energy	-36.59	eV/cell
data_Be2NbTe
_space_group_name_H-M_alt 'P 1'
_space_group_IT_number 1
_space_group_name_Hall 'P 1'
_cell_length_a 5.565
_cell_length_b 5.565
_cell_length_c 5.565
_cell_angle_alpha 104.74
_cell_angle_beta 104.74
_cell_angle_gamma 119.42
loop_
_atom_site_label
_atom_site_type_symbol
_atom_site_fract_x
_atom_site_fract_y
_atom_site_fract_z
_atom_site_occupancy
Be1 Be 0.111 0.625 0.986 1
Be2 Be 0.375 0.361 0.486 1
Be3 Be 0.639 0.125 0.014 1
Be4 Be 0.875 0.889 0.514 1
Nb1 Nb 0.250 0.750 0.500 1
Nb2 Nb 0.500 0.500 0.000 1
Te1 Te 0.000 0.000 0.000 1
Te2 Te 0.750 0.250 0.500 1

=====

(8)
# PBE NaCr2Pd, optimized geometry
# M_tot	2.193	μB per atom
# density	4.7	g cm⁻³
# ΔE to the lowest computed polymorph	0.000	eV per atom
# energy of formation from the pure elements	896	meV/atom
# calculated total energy	-44.35	eV/cell
data_NaCr2Pd
_space_group_name_H-M_alt 'P 1'
_space_group_IT_number 1
_space_group_name_Hall 'P 1'
_cell_length_a 6.105
_cell_length_b 6.105
_cell_length_c 6.105
_cell_angle_alpha 102.76
_cell_angle_beta 102.76
_cell_angle_gamma 123.93
loop_
_atom_site_label
_atom_site_type_symbol
_atom_site_fract_x
_atom_site_fract_y
_atom_site_fract_z
_atom_site_occupancy
Na1 Na 0.000 0.000 0.000 1
Na2 Na 0.750 0.250 0.500 1
Cr1 Cr 0.169 0.125 0.544 1
Cr2 Cr 0.375 0.831 0.956 1
Cr3 Cr 0.581 0.625 0.456 1
Cr4 Cr 0.875 0.419 0.044 1
Pd1 Pd 0.250 0.750 0.500 1
Pd2 Pd 0.500 0.500 0.000 1

=====

(9)
# PBE Ru2PtF, optimized geometry
# M_tot	0.000	μB per atom
# uncorrected formation energy	421	meV per atom
# density	12.3	g cm⁻³
# ΔE to the lowest computed polymorph	0.130	eV per atom
# calculated total energy	-49.56	eV/cell
data_Ru2PtF
_space_group_name_H-M_alt 'P 1'
_space_group_IT_number 1
_space_group_name_Hall 'P 1'
_cell_length_a 5.316
_cell_length_b 5.316
_cell_length_c 5.316
_cell_angle_alpha 104.10
_cell_angle_beta 104.10
_cell_angle_gamma 120.84
loop_
_atom_site_label
_atom_site_type_symbol
_atom_site_fract_x
_atom_site_fract_y
_atom_site_fract_z
_atom_site_occupancy
Ru1 Ru 0.076 0.625 0.951 1
Ru2 Ru 0.375 0.326 0.451 1
Ru3 Ru 0.674 0.125 0.049 1
Ru4 Ru 0.875 0.924 0.549 1
Pt1 Pt 0.250 0.750 0.500 1
Pt2 Pt 0.500 0.500 0.000 1
F1 F 0.000 0.000 0.000 1
F2 F 0.750 0.250 0.500 1

=====

(10)
# PBE TbTlSn2Cl8, optimized geometry
# M_tot	0.000	μB per atom
# uncorrected formation energy	-1426	meV per atom
# density	3.7	g cm⁻³
# calculated total energy	-46.88	eV/cell
data_TbTlSn2Cl8
_space_group_name_H-M_alt 'P 1'
_space_group_IT_number 1
_space_group_name_Hall 'P 1'
_cell_length_a 6.474
_cell_length_b 6.900
_cell_length_c 9.013
_cell_angle_alpha 86.64
_cell_angle_beta 88.37
_cell_angle_gamma 88.16
loop_
_atom_site_label
_atom_site_type_symbol
_atom_site_fract_x
_atom_site_fract_y
_atom_site_fract_z
_atom_site_occupancy
Tb1 Tb 0.000 0.000 0.000 1
Tl1 Tl 0.000 0.000 0.500 1
Sn1 Sn 0.494 0.485 0.750 1
Sn2 Sn 0.506 0.515 0.250 1
Cl1 Cl 0.217 0.822 0.790 1
Cl2 Cl 0.240 0.313 0.964 1
Cl3 Cl 0.252 0.861 0.214 1
Cl4 Cl 0.279 0.365 0.541 1
Cl5 Cl 0.721 0.635 0.459 1
Cl6 Cl 0.748 0.139 0.786 1
Cl7 Cl 0.760 0.687 0.036 1
Cl8 Cl 0.783 0.178 0.210 1

=====

(11)
# PBE La8GeRh3Cl4, optimized geometry
# M_tot	0.000	μB per atom
# uncorrected formation energy	-1239	meV per atom
# density	5.8	g cm⁻³
# calculated total energy	-93.30	eV/cell
data_La8GeRh3Cl4
_space_group_name_H-M_alt 'P 1'
_space_group_IT_number 1
_space_group_name_Hall 'P 1'
_cell_length_a 8.924
_cell_length_b 8.924
_cell_length_c 8.924
_cell_angle_alpha 56.79
_cell_angle_beta 56.79
_cell_angle_gamma 56.79
loop_
_atom_site_label
_atom_site_type_symbol
_atom_site_fract_x
_atom_site_fract_y
_atom_site_fract_z
_atom_site_occupancy
La1 La 0.225 0.743 0.743 1
La2 La 0.238 0.238 0.238 1
La3 La 0.257 0.257 0.775 1
La4 La 0.257 0.775 0.257 1
La5 La 0.743 0.225 0.743 1
La6 La 0.743 0.743 0.225 1
La7 La 0.762 0.762 0.762 1
La8 La 0.775 0.257 0.257 1
Ge1 Ge 0.500 0.500 0.500 1
Rh1 Rh 0.000 0.000 0.500 1
Rh2 Rh 0.000 0.500 0.000 1
Rh3 Rh 0.500 0.000 0.000 1
Cl1 Cl 0.000 0.000 0.000 1
Cl2 Cl 0.000 0.500 0.500 1
Cl3 Cl 0.500 0.000 0.500 1
Cl4 Cl 0.500 0.500 0.000 1

=====

(12)
# PBE Cu2BiPb2, optimized geometry
# M_tot	0.000	μB per atom
# density	10.3	g cm⁻³
# ΔE to the lowest computed polymorph	0.147	eV per atom
# energy of formation from the pure elements	315	meV/atom
# calculated total energy	-17.91	eV/cell
data_Cu2BiPb2
_space_group_name_H-M_alt 'P 1'
_space_group_IT_number 1
_space_group_name_Hall 'P 1'
_cell_length_a 6.846
_cell_length_b 6.846
_cell_length_c 6.846
_cell_angle_alpha 141.87
_cell_angle_beta 141.87
_cell_angle_gamma 55.02
loop_
_atom_site_label
_atom_site_type_symbol
_atom_site_fract_x
_atom_site_fract_y
_atom_site_fract_z
_atom_site_occupancy
Cu1 Cu 0.098 0.098 0.000 1
Cu2 Cu 0.902 0.902 0.000 1
Bi1 Bi 0.500 0.500 0.000 1
Pb1 Pb 0.250 0.750 0.500 1
Pb2 Pb 0.750 0.250 0.500 1

=====

(13)
# PBE ZrTa2Pt, optimized geometry
# M_tot	0.000	μB per atom
# density	14.7	g cm⁻³
# energy of formation from the pure elements	-232	meV/atom
# calculated total energy	-39.22	eV/cell
data_ZrTa2Pt
_space_group_name_H-M_alt 'P 1'
_space_group_IT_number 1
_space_group_name_Hall 'P 1'
_cell_length_a 2.886
_cell_length_b 4.829
_cell_length_c 5.331
_cell_angle_alpha 90.00
_cell_angle_beta 100.02
_cell_angle_gamma 90.00
loop_
_atom_site_label
_atom_site_type_symbol
_atom_site_fract_x
_atom_site_fract_y
_atom_site_fract_z
_atom_site_occupancy
Zr1 Zr 0.000 0.000 0.000 1
Ta1 Ta 0.267 0.500 0.752 1
Ta2 Ta 0.733 0.500 0.248 1
Pt1 Pt 0.500 0.000 0.500 1